1.
Density functional theory data (PBE-GGA) for an optimized crystal structure of LiYSn2.

Crystal system: trigonal
Formation energy: -1.82 eV per formula unit
Symmetry: R-3m
M_tot: 0.00 μB/f.u.

Cell lengths 4.6074, 4.6074, 5.8912 Å; angles 66.98, 66.98, 60.00 degrees
Fractional coordinates of all 4 atoms:
Sn 0.7744 0.7744 0.6768
Sn 0.2256 0.2256 0.3232
Y 0.0000 0.0000 0.0000
Li 0.5000 0.5000 0.5000


2.
Density functional theory data (PBE-GGA) for an optimized crystal structure of LiYSn2.

Crystal system: tetragonal
Formation energy: -0.92 eV per formula unit
Symmetry: I-42d
M_tot: 0.00 μB/f.u.

Cell lengths 4.9031, 4.9031, 10.0073 Å; angles 75.82, 75.82, 90.00 degrees
Fractional coordinates of all 8 atoms:
Sn 0.1961 0.6250 0.2500
Sn 0.8750 0.8039 0.7500
Sn 0.5539 0.1250 0.2500
Sn 0.3750 0.4461 0.7500
Y 0.0000 0.0000 0.0000
Y 0.7500 0.2500 0.5000
Li 0.5000 0.5000 0.0000
Li 0.2500 0.7500 0.5000